Record 1
Nd2BiN | GGA-PBE | relaxed

Lattice parameters (Å, degrees): 4.7449 4.7449 9.4132 90.00 90.00 90.00
Closest atoms and distances in Å follow each position.
Fractional coordinates of all 8 atoms:
Bi1 0.0000 0.5000 0.3069  9 Nd 3.36-3.74, 1 N 3.65
Bi2 0.5000 0.0000 0.6931  9 Nd 3.36-3.74, 1 N 3.65
N1 0.5000 0.0000 0.0811  5 Nd 2.28-2.49
N2 0.0000 0.5000 0.9189  5 Nd 2.28-2.49
Nd1 0.0000 0.5000 0.6768  1 N 2.28
Nd2 0.5000 0.0000 0.3232  1 N 2.28
Nd3 0.5000 0.5000 0.0000  4 N 2.49
Nd4 0.0000 0.0000 0.0000  4 N 2.49

## Properties
Energy above the lowest structure with this stoichiometry in eV per atom: 0.0000
Total magnetization in μB per cell: 0.0
SG: P4/nmm (129)
Calculated total energy in eV/f.u.: -26.4

=====

Record 2
LiRePO2 | GGA-PBE | relaxed

Lattice parameters (Å, degrees): 3.7984 3.7984 4.9359 90.00 90.00 90.00
Closest atoms and distances in Å follow each position.
Fractional coordinates of all 5 atoms:
O1 0.5000 0.0000 0.0000  2 Re 1.90
O2 0.0000 0.5000 0.0000  2 Re 1.90
Re1 0.0000 0.0000 0.0000  4 O 1.90
Li1 0.5000 0.5000 0.5000  4 P 2.69
P1 0.0000 0.0000 0.5000  2 Re 2.47, 4 Li 2.69

## Properties
Energy above the lowest structure with this stoichiometry in eV per atom: 0.0000
Total magnetization in μB per cell: 0.0
SG: P4/mmm (123)
Calculated total energy in eV/f.u.: -34.4

=====

Record 3
K2MgH8N4 | GGA-PBE | relaxed

Lattice parameters (Å, degrees): 7.1679 7.5513 13.5867 103.49 90.00 90.00
Closest atoms and distances in Å follow each position.
Fractional coordinates of all 60 atoms:
H1 0.4947 0.8401 0.2898  1 N 1.03
H2 0.8867 0.5905 0.9891  1 N 1.03
H3 0.2171 0.3451 0.1013  1 N 1.03
H4 0.0188 0.6264 0.7813  1 N 1.03
H5 0.9812 0.3736 0.2187  1 N 1.03
H6 0.6388 0.7024 0.7449  1 N 1.03
H7 0.7383 0.9842 0.8998  1 N 1.03
H8 0.9947 0.1599 0.2102  1 N 1.03
H9 0.7171 0.6549 0.3987  1 N 1.03
H10 0.5188 0.3736 0.7187  1 N 1.03
H11 0.2829 0.3451 0.6013  1 N 1.03
H12 0.5711 0.9046 0.7453  1 N 1.03
H13 0.5053 0.1599 0.7102  1 N 1.03
H14 0.6133 0.5905 0.4891  1 N 1.03
H15 0.8729 0.1122 0.9812  1 N 1.03
H16 0.3867 0.4095 0.5109  1 N 1.03
H17 0.0711 0.0954 0.7547  1 N 1.03
H18 0.3729 0.8878 0.5188  1 N 1.03
H19 0.7829 0.6549 0.8987  1 N 1.03
H20 0.8612 0.7024 0.2449  1 N 1.03
H21 0.7617 0.9842 0.3998  1 N 1.03
H22 0.1388 0.2976 0.7551  1 N 1.03
H23 0.2383 0.0158 0.6002  1 N 1.03
H24 0.6271 0.1122 0.4812  1 N 1.03
H25 0.1271 0.8878 0.0188  1 N 1.03
H26 0.9289 0.9046 0.2453  1 N 1.03
H27 0.4812 0.6264 0.2813  1 N 1.03
H28 0.1133 0.4095 0.0109  1 N 1.03
H29 0.3612 0.2976 0.2551  1 N 1.03
H30 0.4289 0.0954 0.2547  1 N 1.03
H31 0.2617 0.0158 0.1002  1 N 1.03
H32 0.0053 0.8401 0.7898  1 N 1.03
N1 0.2280 0.4389 0.0574  2 H 1.03
N2 0.2473 0.8857 0.5553  2 H 1.03
N3 0.5197 0.7769 0.7431  2 H 1.03
N4 0.7473 0.1143 0.9447  2 H 1.03
N5 0.9549 0.2783 0.2599  2 H 1.03
N6 0.4803 0.2231 0.2569  2 H 1.03
N7 0.0197 0.2231 0.7569  2 H 1.03
N8 0.5451 0.2783 0.7599  2 H 1.03
N9 0.2527 0.8857 0.0553  2 H 1.03
N10 0.7280 0.5611 0.4426  2 H 1.03
N11 0.9803 0.7769 0.2431  2 H 1.03
N12 0.0451 0.7217 0.7401  2 H 1.03
N13 0.7527 0.1143 0.4447  2 H 1.03
N14 0.2720 0.4389 0.5574  2 H 1.03
N15 0.7720 0.5611 0.9426  2 H 1.03
N16 0.4549 0.7217 0.2401  2 H 1.03
K1 0.6250 0.4063 0.1048  7 H 2.78-3.08, 5 N 2.85-2.94
K2 0.1250 0.5937 0.3952  7 H 2.78-3.08, 5 N 2.85-2.94
K3 0.6501 0.9039 0.1000  8 H 2.76-3.09, 5 N 2.91-3.08
K4 0.1501 0.0961 0.4000  8 H 2.76-3.09, 5 N 2.91-3.08
K5 0.8750 0.4063 0.6048  7 H 2.78-3.08, 5 N 2.85-2.94
K6 0.8499 0.9039 0.6000  8 H 2.76-3.09, 5 N 2.91-3.08
K7 0.3499 0.0961 0.9000  8 H 2.76-3.09, 5 N 2.91-3.08
K8 0.3750 0.5937 0.8952  7 H 2.78-3.08, 5 N 2.85-2.94
Mg1 0.2139 0.7042 0.1515  4 N 2.08-2.12
Mg2 0.7861 0.2958 0.8485  4 N 2.08-2.12
Mg3 0.2861 0.7042 0.6515  4 N 2.08-2.12
Mg4 0.7139 0.2958 0.3485  4 N 2.08-2.12

## Properties
Total magnetization in μB per cell: 0.0
SG: P2_1/c (14)
Calculated total energy in eV/f.u.: -70.9

=====

Record 4
BaMg6Al | GGA-PBE | relaxed

Lattice parameters (Å, degrees): 7.8181 7.8181 4.9606 90.00 90.00 133.14
Closest atoms and distances in Å follow each position.
Fractional coordinates of all 8 atoms:
Mg1 0.8013 0.6748 0.5000  1 Al 2.93, 6 Mg 2.96-3.26
Mg2 0.6798 0.8226 0.0000  2 Al 2.97, 5 Mg 3.09-3.15
Mg3 0.7102 0.2898 0.0000  8 Mg 3.37-3.58, 2 Al 3.62
Mg4 0.1200 0.8800 0.0000  8 Mg 3.08-3.37
Mg5 0.1774 0.3202 0.0000  2 Al 2.97, 5 Mg 3.09-3.15
Mg6 0.3252 0.1987 0.5000  1 Al 2.93, 6 Mg 2.96-3.26
Al1 0.8937 0.1063 0.5000  6 Mg 2.93-2.97
Ba1 0.2924 0.7076 0.5000  2 Al 3.43, 8 Mg 3.50-3.67

## Properties
Energy above the lowest structure with this stoichiometry in eV per atom: 0.0000
Total magnetization in μB per cell: 0.0
Energy of formation from the pure elements in eV per atom: 0.05
SG: Amm2 (38)
Calculated total energy in eV/f.u.: -14.8

=====

Record 5
AlZn2Cd | GGA-PBE | relaxed

Lattice parameters (Å, degrees): 5.0696 5.0696 5.0696 132.00 132.00 70.23
Closest atoms and distances in Å follow each position.
Fractional coordinates of all 4 atoms:
Zn1 0.0000 0.0000 0.0000  4 Al 2.92, 4 Cd 2.92, 4 Zn 2.92
Zn2 0.2500 0.7500 0.5000  4 Cd 2.92, 4 Al 2.92, 4 Zn 2.92
Al1 0.5000 0.5000 0.0000  8 Zn 2.92, 4 Cd 2.92
Cd1 0.7500 0.2500 0.5000  8 Zn 2.92, 4 Al 2.92

## Properties
Energy above the lowest structure with this stoichiometry in eV per atom: 0.0446
Total magnetization in μB per cell: 0.0
Energy of formation from the pure elements in eV per atom: 0.10
SG: I-4m2 (119)
Calculated total energy in eV/f.u.: -6.8

=====

Record 6
Ba2CaTlO | GGA-PBE | relaxed

Lattice parameters (Å, degrees): 6.7928 5.4380 6.7928 90.00 90.00 90.00
Closest atoms and distances in Å follow each position.
Fractional coordinates of all 5 atoms:
Ba1 0.5000 0.0000 0.0000  2 Ca 3.40
Ba2 0.0000 0.0000 0.5000  2 Ca 3.40
Tl1 0.0000 0.5000 0.0000  2 Ca 2.72
O1 0.5000 0.5000 0.5000  8 Ba 4.35, 4 Tl 4.80
Ca1 0.0000 0.0000 0.0000  2 Tl 2.72

## Properties
Energy above the lowest structure with this stoichiometry in eV per atom: 1.8449
Total magnetization in μB per cell: 0.0
SG: P4/mmm (123)
Calculated total energy in eV/f.u.: -10.2

=====

Record 7
VSbTe2Cl | GGA-PBE | relaxed

Lattice parameters (Å, degrees): 5.0956 5.0956 5.2304 90.00 90.00 90.00
Closest atoms and distances in Å follow each position.
Fractional coordinates of all 5 atoms:
Te1 0.0000 0.5000 0.0000  2 V 2.55
Te2 0.5000 0.0000 0.0000  2 V 2.55
V1 0.0000 0.0000 0.0000  4 Te 2.55, 2 Sb 2.62
Cl1 0.5000 0.5000 0.5000  4 Sb 3.60, 8 Te 3.65
Sb1 0.0000 0.0000 0.5000  2 V 2.62

## Properties
Energy above the lowest structure with this stoichiometry in eV per atom: 0.0000
Total magnetization in μB per cell: 0.0
SG: P4/mmm (123)
Calculated total energy in eV/f.u.: -21.2

=====

Record 8
FeNi5Ir4 | GGA-PBE | relaxed

Lattice parameters (Å, degrees): 2.6806 8.3590 9.6543 140.41 97.98 90.00
Closest atoms and distances in Å follow each position.
Fractional coordinates of all 10 atoms:
Ni1 0.1665 0.3792 0.3331  4 Ni 2.46-2.68, 2 Fe 2.51, 4 Ir 2.51-2.67
Ni2 0.8324 0.1744 0.6649  6 Ni 2.43-2.68, 4 Ir 2.57-2.71
Ni3 0.5000 0.5000 0.0000  6 Ni 2.43-2.68, 4 Ir 2.45
Ni4 0.8335 0.6208 0.6669  4 Ni 2.46-2.68, 2 Fe 2.51, 4 Ir 2.51-2.67
Ni5 0.1676 0.8256 0.3351  6 Ni 2.43-2.68, 4 Ir 2.57-2.71
Ir1 0.3131 0.8594 0.6262  6 Ni 2.54-2.71, 4 Ir 2.62-2.68, 1 Fe 2.76
Ir2 0.9949 0.2461 0.9899  4 Ni 2.45-2.67, 2 Fe 2.52, 4 Ir 2.62-2.68
Ir3 0.6869 0.1406 0.3738  6 Ni 2.54-2.71, 4 Ir 2.62-2.68, 1 Fe 2.76
Ir4 0.0051 0.7539 0.0101  4 Ni 2.45-2.67, 2 Fe 2.52, 4 Ir 2.62-2.68
Fe1 0.5000 0.0000 0.0000  4 Ni 2.51, 6 Ir 2.52-2.76, 2 Fe 2.68

## Properties
Total magnetization in μB per cell: 5.6
Energy of formation from the pure elements in eV per atom: 0.28
SG: C2/m (12)
Calculated total energy in eV/f.u.: -70.0

=====

Question: What is the formula in the seventh record?
Answer: VSbTe2Cl

=====

Question: Look up the calculated total energy of the second one.
Answer: -34.4 eV/f.u.

=====

Please write out number 1 again, unchanged.
Nd2BiN | GGA-PBE | relaxed

Lattice parameters (Å, degrees): 4.7449 4.7449 9.4132 90.00 90.00 90.00
Closest atoms and distances in Å follow each position.
Fractional coordinates of all 8 atoms:
Bi1 0.0000 0.5000 0.3069  9 Nd 3.36-3.74, 1 N 3.65
Bi2 0.5000 0.0000 0.6931  9 Nd 3.36-3.74, 1 N 3.65
N1 0.5000 0.0000 0.0811  5 Nd 2.28-2.49
N2 0.0000 0.5000 0.9189  5 Nd 2.28-2.49
Nd1 0.0000 0.5000 0.6768  1 N 2.28
Nd2 0.5000 0.0000 0.3232  1 N 2.28
Nd3 0.5000 0.5000 0.0000  4 N 2.49
Nd4 0.0000 0.0000 0.0000  4 N 2.49

## Properties
Energy above the lowest structure with this stoichiometry in eV per atom: 0.0000
Total magnetization in μB per cell: 0.0
SG: P4/nmm (129)
Calculated total energy in eV/f.u.: -26.4